A plane-wave DFT calculation with PBE was carried out for SmU5Se6 after structural relaxation.

**Total magnetic moment**: 13.74 μB per formula unit
**DFT total energy**: -7.96 eV per atom
**Crystal system**: monoclinic
**Symmetry**: C2/m, No. 12
**Mass density**: 10.471 g cm⁻³

abc: 6.903 6.903 7.349
angles: 99.03 99.03 120.06
Positions (direct):
Sm1 0.000 0.000 0.000
U1 0.163 0.837 0.500
U2 0.332 0.668 0.000
U3 0.500 0.500 0.500
U4 0.668 0.332 0.000
U5 0.837 0.163 0.500
Se1 0.085 0.423 0.253
Se2 0.256 0.256 0.753
Se3 0.423 0.085 0.253
Se4 0.577 0.915 0.747
Se5 0.744 0.744 0.247
Se6 0.915 0.577 0.747

A plane-wave DFT calculation with PBE was carried out for TlSn3Se3 after structural relaxation.

**Total magnetic moment**: 0.00 μB per formula unit
**DFT total energy**: -3.87 eV per atom
**Crystal system**: triclinic
**Symmetry**: P-1, No. 2
**Mass density**: 6.507 g cm⁻³

abc: 6.142 6.468 10.841
angles: 94.69 98.72 105.43
Positions (direct):
Tl1 0.219 0.362 0.030
Tl2 0.781 0.638 0.970
Sn1 0.047 0.573 0.294
Sn2 0.312 0.212 0.448
Sn3 0.360 0.007 0.822
Sn4 0.640 0.993 0.178
Sn5 0.688 0.788 0.552
Sn6 0.953 0.427 0.706
Se1 0.182 0.964 0.194
Se2 0.213 0.810 0.544
Se3 0.398 0.392 0.724
Se4 0.602 0.608 0.276
Se5 0.787 0.190 0.456
Se6 0.818 0.036 0.806

A plane-wave DFT calculation with PBE was carried out for TlCrPdRu2 after structural relaxation.

**Total magnetic moment**: 0.30 μB per formula unit
**Formation enthalpy at 0 K**: 1202 kJ/mol of formula units
**Crystal system**: tetragonal
**Symmetry**: P4/mmm, No. 123
**Mass density**: 7.980 g cm⁻³

abc: 4.917 4.917 4.861
angles: 90.00 90.00 90.00
Positions (direct):
Tl1 0.000 0.000 0.000
Cr1 0.500 0.500 0.500
Pd1 0.000 0.000 0.500
Ru1 0.000 0.500 0.000
Ru2 0.500 0.000 0.000

A plane-wave DFT calculation with PBE was carried out for LiCa2Mg after structural relaxation.

**Total magnetic moment**: 0.00 μB per formula unit
**Formation enthalpy at 0 K**: -4 kJ/mol of formula units
**Crystal system**: monoclinic
**Symmetry**: Pm, No. 6
**Mass density**: 1.436 g cm⁻³

abc: 3.871 5.222 6.643
angles: 90.00 106.38 90.00
Positions (direct):
Li1 0.000 0.000 0.000
Ca1 0.407 0.500 0.814
Ca2 0.720 0.000 0.448
Mg1 0.128 0.500 0.266

A plane-wave DFT calculation with PBE was carried out for CaPCS2 after structural relaxation.

**Total magnetic moment**: 0.00 μB per formula unit
**DFT total energy**: -4.68 eV per atom
**Crystal system**: tetragonal
**Symmetry**: P4/mmm, No. 123
**Mass density**: 2.926 g cm⁻³

abc: 4.737 4.737 3.722
angles: 90.00 90.00 90.00
Positions (direct):
Ca1 0.000 0.000 0.000
P1 0.500 0.500 0.000
C1 0.500 0.500 0.500
S1 0.000 0.500 0.500
S2 0.500 0.000 0.500

A plane-wave DFT calculation with PBE was carried out for Sr3CaI8 after structural relaxation.

**Total magnetic moment**: 0.00 μB per formula unit
**DFT total energy**: -3.22 eV per atom
**Crystal system**: tetragonal
**Symmetry**: I4/mmm, No. 139
**Mass density**: 4.270 g cm⁻³

abc: 9.803 9.803 9.803
angles: 131.82 131.82 70.51
Positions (direct):
Sr1 0.000 0.000 0.000
Sr2 0.250 0.750 0.500
Sr3 0.750 0.250 0.500
Ca1 0.500 0.500 0.000
I1 0.130 0.130 0.507
I2 0.130 0.623 0.000
I3 0.377 0.377 0.507
I4 0.377 0.870 0.000
I5 0.623 0.130 0.000
I6 0.623 0.623 0.493
I7 0.870 0.377 0.000
I8 0.870 0.870 0.493

A plane-wave DFT calculation with PBE was carried out for ZrScCl2 after structural relaxation.

**Total magnetic moment**: 4.90 μB per formula unit
**DFT total energy**: -4.70 eV per atom
**Crystal system**: cubic
**Symmetry**: F-43m, No. 216
**Mass density**: 3.720 g cm⁻³

abc: 7.178 7.178 7.178
angles: 90.00 90.00 90.00
Positions (direct):
Zr1 0.000 0.000 0.000
Zr2 0.000 0.500 0.500
Zr3 0.500 0.000 0.500
Zr4 0.500 0.500 0.000
Sc1 0.250 0.250 0.250
Sc2 0.250 0.750 0.750
Sc3 0.750 0.250 0.750
Sc4 0.750 0.750 0.250
Cl1 0.000 0.000 0.500
Cl2 0.000 0.500 0.000
Cl3 0.250 0.250 0.750
Cl4 0.250 0.750 0.250
Cl5 0.500 0.000 0.000
Cl6 0.500 0.500 0.500
Cl7 0.750 0.250 0.250
Cl8 0.750 0.750 0.750

A plane-wave DFT calculation with PBE was carried out for TlInCuO3 after structural relaxation.

**Total magnetic moment**: 0.00 μB per formula unit
**DFT total energy**: -4.93 eV per atom
**Crystal system**: monoclinic
**Symmetry**: C2/m, No. 12
**Mass density**: 6.811 g cm⁻³

abc: 6.344 6.344 9.078
angles: 106.71 106.71 37.10
Positions (direct):
Tl1 0.163 0.163 0.113
Tl2 0.837 0.837 0.887
In1 0.136 0.136 0.603
In2 0.864 0.864 0.397
Cu1 0.460 0.460 0.677
Cu2 0.540 0.540 0.323
O1 0.042 0.042 0.358
O2 0.315 0.315 0.715
O3 0.380 0.380 0.321
O4 0.620 0.620 0.679
O5 0.685 0.685 0.285
O6 0.958 0.958 0.642

A plane-wave DFT calculation with PBE was carried out for Ca2AgSb after structural relaxation.

**Total magnetic moment**: 0.00 μB per formula unit
**DFT total energy**: -2.97 eV per atom
**Crystal system**: cubic
**Symmetry**: F-43m, No. 216
**Mass density**: 4.694 g cm⁻³

abc: 7.597 7.597 7.597
angles: 90.00 90.00 90.00
Positions (direct):
Ca1 0.000 0.000 0.000
Ca2 0.000 0.500 0.500
Ca3 0.250 0.250 0.250
Ca4 0.250 0.750 0.750
Ca5 0.500 0.000 0.500
Ca6 0.500 0.500 0.000
Ca7 0.750 0.250 0.750
Ca8 0.750 0.750 0.250
Ag1 0.000 0.000 0.500
Ag2 0.000 0.500 0.000
Ag3 0.500 0.000 0.000
Ag4 0.500 0.500 0.500
Sb1 0.250 0.250 0.750
Sb2 0.250 0.750 0.250
Sb3 0.750 0.250 0.250
Sb4 0.750 0.750 0.750

A plane-wave DFT calculation with PBE was carried out for YNiIr4 after structural relaxation.

**Total magnetic moment**: 1.66 μB per formula unit
**Formation enthalpy at 0 K**: -73 kJ/mol of formula units
**Crystal system**: cubic
**Symmetry**: F-43m, No. 216
**Mass density**: 14.946 g cm⁻³

abc: 5.241 5.241 5.241
angles: 60.00 60.00 60.00
Positions (direct):
Y1 0.000 0.000 0.000
Ni1 0.750 0.750 0.750
Ir1 0.375 0.375 0.375
Ir2 0.375 0.375 0.874
Ir3 0.375 0.874 0.375
Ir4 0.874 0.375 0.375

A plane-wave DFT calculation with PBE was carried out for Cs2AcSn2S6 after structural relaxation.

**Total magnetic moment**: 0.00 μB per formula unit
**DFT total energy**: -4.47 eV per atom
**Crystal system**: monoclinic
**Symmetry**: C2/m, No. 12
**Mass density**: 3.894 g cm⁻³

abc: 7.705 7.705 8.846
angles: 116.23 116.23 60.72
Positions (direct):
Cs1 0.209 0.209 0.195
Cs2 0.791 0.791 0.805
Ac1 0.000 0.000 0.500
Sn1 0.460 0.460 0.804
Sn2 0.540 0.540 0.196
S1 0.192 0.702 0.211
S2 0.252 0.252 0.634
S3 0.298 0.808 0.789
S4 0.702 0.192 0.211
S5 0.748 0.748 0.366
S6 0.808 0.298 0.789

A plane-wave DFT calculation with PBE was carried out for Li5In4 after structural relaxation.

**Total magnetic moment**: 0.00 μB per formula unit
**Formation enthalpy at 0 K**: -247 kJ/mol of formula units
**Crystal system**: trigonal
**Symmetry**: P-3m1, No. 164
**Mass density**: 4.677 g cm⁻³

abc: 4.771 4.771 8.898
angles: 90.00 90.00 120.00
Positions (direct):
Li1 0.000 0.000 0.000
Li2 0.333 0.667 0.123
Li3 0.333 0.667 0.454
Li4 0.667 0.333 0.546
Li5 0.667 0.333 0.877
In1 0.000 0.000 0.333
In2 0.000 0.000 0.667
In3 0.333 0.667 0.798
In4 0.667 0.333 0.202

A plane-wave DFT calculation with PBE was carried out for MgTcTe2I after structural relaxation.

**Total magnetic moment**: 4.58 μB per formula unit
**DFT total energy**: -3.15 eV per atom
**Crystal system**: tetragonal
**Symmetry**: P4/mmm, No. 123
**Mass density**: 5.020 g cm⁻³

abc: 5.492 5.492 5.532
angles: 90.00 90.00 90.00
Positions (direct):
Mg1 0.000 0.000 0.000
Tc1 0.500 0.500 0.500
Te1 0.000 0.500 0.000
Te2 0.500 0.000 0.000
I1 0.000 0.000 0.500

A plane-wave DFT calculation with PBE was carried out for Ac4Sm2Y after structural relaxation.

**Total magnetic moment**: 0.00 μB per formula unit
**Formation enthalpy at 0 K**: 147 kJ/mol of formula units
**Crystal system**: orthorhombic
**Symmetry**: Cmcm, No. 63
**Mass density**: 7.390 g cm⁻³

abc: 8.489 8.489 18.347
angles: 90.00 90.00 153.82
Positions (direct):
Ac1 0.062 0.938 0.584
Ac2 0.062 0.938 0.916
Ac3 0.333 0.667 0.577
Ac4 0.333 0.667 0.923
Ac5 0.667 0.333 0.077
Ac6 0.667 0.333 0.423
Ac7 0.938 0.062 0.084
Ac8 0.938 0.062 0.416
Sm1 0.117 0.883 0.250
Sm2 0.454 0.546 0.250
Sm3 0.546 0.454 0.750
Sm4 0.883 0.117 0.750
Y1 0.214 0.786 0.750
Y2 0.786 0.214 0.250

A plane-wave DFT calculation with PBE was carried out for SmIn4Pt4 after structural relaxation.

**Total magnetic moment**: 0.00 μB per formula unit
**Formation enthalpy at 0 K**: -436 kJ/mol of formula units
**Crystal system**: tetragonal
**Symmetry**: P4_2/n, No. 86
**Mass density**: 10.798 g cm⁻³

abc: 8.909 8.909 5.386
angles: 90.00 90.00 90.00
Positions (direct):
Sm1 0.250 0.250 0.250
Sm2 0.750 0.750 0.750
In1 0.094 0.643 0.153
In2 0.143 0.906 0.653
In3 0.357 0.594 0.653
In4 0.406 0.857 0.153
In5 0.594 0.143 0.847
In6 0.643 0.406 0.347
In7 0.857 0.094 0.347
In8 0.906 0.357 0.847
Pt1 0.041 0.613 0.657
Pt2 0.113 0.959 0.157
Pt3 0.387 0.541 0.157
Pt4 0.459 0.887 0.657
Pt5 0.541 0.113 0.343
Pt6 0.613 0.459 0.843
Pt7 0.887 0.041 0.843
Pt8 0.959 0.387 0.343

A plane-wave DFT calculation with PBE was carried out for NiSb2TeN after structural relaxation.

**Total magnetic moment**: 0.00 μB per formula unit
**DFT total energy**: -4.28 eV per atom
**Crystal system**: tetragonal
**Symmetry**: P4/mmm, No. 123
**Mass density**: 7.287 g cm⁻³

abc: 4.705 4.705 4.568
angles: 90.00 90.00 90.00
Positions (direct):
Ni1 0.000 0.000 0.000
Sb1 0.000 0.500 0.500
Sb2 0.500 0.000 0.500
Te1 0.500 0.500 0.000
N1 0.500 0.500 0.500

A plane-wave DFT calculation with PBE was carried out for BiAuS2 after structural relaxation.

**Total magnetic moment**: 0.00 μB per formula unit
**DFT total energy**: -4.04 eV per atom
**Crystal system**: triclinic
**Symmetry**: P1, No. 1
**Mass density**: 6.672 g cm⁻³

abc: 4.079 7.544 8.370
angles: 69.60 77.32 79.57
Positions (direct):
Bi1 0.000 0.000 0.000
Bi2 0.166 0.195 0.517
Au1 0.355 0.567 0.744
Au2 0.654 0.487 0.209
S1 0.040 0.854 0.740
S2 0.490 0.798 0.195
S3 0.549 0.257 0.754
S4 0.786 0.158 0.296

A plane-wave DFT calculation with PBE was carried out for YNbZnTe2 after structural relaxation.

**Total magnetic moment**: 3.74 μB per formula unit
**DFT total energy**: -4.16 eV per atom
**Crystal system**: tetragonal
**Symmetry**: P4/mmm, No. 123
**Mass density**: 4.720 g cm⁻³

abc: 5.771 5.771 5.307
angles: 90.00 90.00 90.00
Positions (direct):
Y1 0.000 0.000 0.000
Nb1 0.500 0.500 0.500
Zn1 0.000 0.000 0.500
Te1 0.000 0.500 0.000
Te2 0.500 0.000 0.000

A plane-wave DFT calculation with PBE was carried out for Y2TcHg after structural relaxation.

**Total magnetic moment**: 0.00 μB per formula unit
**Formation enthalpy at 0 K**: -94 kJ/mol of formula units
**Crystal system**: monoclinic
**Symmetry**: P2/m, No. 10
**Mass density**: 8.541 g cm⁻³

abc: 3.522 3.547 7.413
angles: 90.00 90.08 90.00
Positions (direct):
Y1 0.001 0.000 0.280
Y2 0.999 0.000 0.720
Tc1 0.500 0.500 0.500
Hg1 0.500 0.500 0.000

A plane-wave DFT calculation with PBE was carried out for LiCoP after structural relaxation.

**Total magnetic moment**: 0.00 μB per formula unit
**Formation enthalpy at 0 K**: -120 kJ/mol of formula units
**Crystal system**: hexagonal
**Symmetry**: P-6m2, No. 187
**Mass density**: 4.497 g cm⁻³

abc: 3.775 3.775 2.898
angles: 90.00 90.00 120.00
Positions (direct):
Li1 0.000 0.000 0.000
Co1 0.667 0.333 0.500
P1 0.333 0.667 0.500

A plane-wave DFT calculation with PBE was carried out for YAl2Fe after structural relaxation.

**Total magnetic moment**: 0.67 μB per formula unit
**Formation enthalpy at 0 K**: -29 kJ/mol of formula units
**Crystal system**: cubic
**Symmetry**: Fm-3m, No. 225
**Mass density**: 4.884 g cm⁻³

abc: 6.465 6.465 6.465
angles: 90.00 90.00 90.00
Positions (direct):
Y1 0.000 0.000 0.000
Y2 0.000 0.500 0.500
Y3 0.500 0.000 0.500
Y4 0.500 0.500 0.000
Al1 0.250 0.250 0.250
Al2 0.250 0.250 0.750
Al3 0.250 0.750 0.250
Al4 0.250 0.750 0.750
Al5 0.750 0.250 0.250
Al6 0.750 0.250 0.750
Al7 0.750 0.750 0.250
Al8 0.750 0.750 0.750
Fe1 0.000 0.000 0.500
Fe2 0.000 0.500 0.000
Fe3 0.500 0.000 0.000
Fe4 0.500 0.500 0.500

A plane-wave DFT calculation with PBE was carried out for TbSbTe after structural relaxation.

**Total magnetic moment**: 0.00 μB per formula unit
**DFT total energy**: -4.66 eV per atom
**Crystal system**: trigonal
**Symmetry**: R-3m, No. 166
**Mass density**: 6.892 g cm⁻³

abc: 9.606 9.606 9.606
angles: 30.04 30.04 30.04
Positions (direct):
Tb1 0.088 0.088 0.088
Tb2 0.912 0.912 0.912
Sb1 0.348 0.348 0.348
Sb2 0.652 0.652 0.652
Te1 0.206 0.206 0.206
Te2 0.794 0.794 0.794

A plane-wave DFT calculation with PBE was carried out for BaCu2Os2O7 after structural relaxation.

**Total magnetic moment**: 0.52 μB per formula unit
**DFT total energy**: -6.64 eV per atom
**Crystal system**: tetragonal
**Symmetry**: I4/mmm, No. 139
**Mass density**: 8.435 g cm⁻³

abc: 10.154 10.154 10.154
angles: 157.83 157.83 31.56
Positions (direct):
Ba1 0.000 0.000 0.000
Cu1 0.250 0.750 0.500
Cu2 0.750 0.250 0.500
Os1 0.391 0.391 0.000
Os2 0.609 0.609 0.000
O1 0.107 0.607 0.500
O2 0.288 0.288 0.000
O3 0.393 0.893 0.500
O4 0.500 0.500 0.000
O5 0.607 0.107 0.500
O6 0.712 0.712 0.000
O7 0.893 0.393 0.500

A plane-wave DFT calculation with PBE was carried out for CaScAsBr2 after structural relaxation.

**Total magnetic moment**: 0.00 μB per formula unit
**DFT total energy**: -4.37 eV per atom
**Crystal system**: tetragonal
**Symmetry**: P4/mmm, No. 123
**Mass density**: 3.652 g cm⁻³

abc: 5.191 5.191 5.397
angles: 90.00 90.00 90.00
Positions (direct):
Ca1 0.000 0.000 0.000
Sc1 0.500 0.500 0.500
As1 0.500 0.500 0.000
Br1 0.000 0.500 0.500
Br2 0.500 0.000 0.500

A plane-wave DFT calculation with PBE was carried out for Zn2TcPt after structural relaxation.

**Total magnetic moment**: 0.00 μB per formula unit
**Formation enthalpy at 0 K**: -22 kJ/mol of formula units
**Crystal system**: trigonal
**Symmetry**: R3m, No. 160
**Mass density**: 11.811 g cm⁻³

abc: 2.773 2.773 26.842
angles: 90.00 90.00 120.00
Positions (direct):
Zn1 0.000 0.000 0.000
Zn2 0.000 0.000 0.247
Zn3 0.333 0.667 0.667
Zn4 0.333 0.667 0.913
Zn5 0.667 0.333 0.333
Zn6 0.667 0.333 0.580
Tc1 0.000 0.000 0.749
Tc2 0.333 0.667 0.415
Tc3 0.667 0.333 0.082
Pt1 0.000 0.000 0.498
Pt2 0.333 0.667 0.164
Pt3 0.667 0.333 0.831